1.
Compound: AuBr2
Source: Alexandria
Functional: GGA-PBE
Structure: relaxed

```
6
Lattice="3.915 0.000 0.000 -1.958 3.391 0.000 0.000 0.000 12.027" Properties=species:S:1:pos:R:3 pbc="T T T"
Au 0.000 0.000 3.007
Au 0.000 0.000 9.020
Br 0.000 2.260 1.321
Br 0.000 2.260 4.692
Br 1.958 1.130 7.335
Br 1.958 1.130 10.706
```

## Properties
Fermi-level density of states: 11.64 states/eV per cell
total energy: -2.02 eV/atom
SG: P6_3/mmc, No. 194
size of the total moment: 0.00 Bohr magnetons per cell
crystal system: hexagonal

***

2.
Compound: Au3Br2
Source: Alexandria
Functional: GGA-PBE
Structure: relaxed

```
10
Lattice="0.000 8.317 2.979 4.767 0.000 2.979 4.767 8.317 0.000" Properties=species:S:1:pos:R:3 pbc="T T T"
Au 0.000 0.000 0.000
Au 7.088 9.826 2.006
Au 2.384 4.158 1.490
Au 4.705 2.649 3.495
Au 2.446 6.807 2.006
Au 4.829 13.985 3.495
Br 6.264 7.287 2.507
Br 3.881 5.188 3.997
Br 3.270 9.346 2.507
Br 5.654 11.446 3.997
```

## Properties
Fermi-level density of states: 4.01 states/eV per cell
total energy: -2.41 eV/atom
SG: Fdd2, No. 43
size of the total moment: 0.00 Bohr magnetons per cell
crystal system: orthorhombic

***

3.
Compound: AuBr
Source: Alexandria
Functional: GGA-PBE
Structure: relaxed

```
8
Lattice="0.000 3.130 14.433 3.021 0.000 14.433 3.021 3.130 0.000" Properties=species:S:1:pos:R:3 pbc="T T T"
Au 2.266 0.782 10.825
Au 3.777 2.347 18.042
Au 2.266 3.913 10.825
Au 3.777 5.478 18.042
Br 2.266 2.347 1.628
Br 3.777 3.912 8.844
Br 2.266 2.347 20.022
Br 3.777 3.912 27.239
```

## Properties
Fermi-level density of states: 0.00 states/eV per cell
total energy: -2.59 eV/atom
SG: Fddd, No. 70
size of the total moment: 0.00 Bohr magnetons per cell
crystal system: orthorhombic

***

Listing formation energy from raw total energies for the structures above in their given order: 0.1874; 0.2275; -0.1125 eV/atom.